This record from Alexandria via LeMat-Bulk describes a geometry-optimized Ba2LiCd6Hg structure. The functional is PBE-GGA.

Results
- mass density (Mg/m³) = 6.4
- energy of formation (eV/atom) = -0.17
- DOS(E_F) (states/eV per cell) = 6.791

Unit cell a=7.533 b=7.533 c=7.310 alpha=60.87 beta=60.87 gamma=90.17
Sites, in units of the cell vectors:
Ba 0.795 0.205 0.500
Cd 0.694 0.694 0.521
Ba 0.205 0.795 0.500
Cd 0.306 0.306 0.479
Cd 0.307 0.307 0.908
Cd 0.265 0.735 0.000
Cd 0.735 0.265 0.000
Hg 0.000 0.000 0.000
Li 0.500 0.500 0.000
Cd 0.693 0.693 0.092